Entry from the Alexandria database: an optimized crystal structure of Pa5Si5Ni2 (PBE).

Properties
total energy = -7.748 eV/atom

a = 3.9851 Å, b = 7.3684 Å, c = 8.5854 Å
α = 91.76°, β = 76.58°, γ = 74.31°
Positions (direct):
Pa: 0.5000 0.5000 0.5000
Pa: 0.4029 0.2887 0.9054
Pa: 0.3232 0.0470 0.3065
Pa: 0.6768 0.9530 0.6935
Pa: 0.5971 0.7113 0.0946
Si: 0.9351 0.7590 0.3708
Si: 0.2382 0.6951 0.8285
Si: 0.7618 0.3049 0.1715
Si: 0.0649 0.2410 0.6292
Si: 0.0000 0.0000 0.0000
Ni: 0.8431 0.5418 0.7720
Ni: 0.1569 0.4582 0.2280

Entry from the Alexandria database: an optimized crystal structure of PaSiNi3 (PBE).

Properties
energy above the lowest structure with this stoichiometry = 0 meV per atom

a = 4.9323 Å, b = 6.0668 Å, c = 6.0668 Å
α = 68.68°, β = 66.01°, γ = 66.01°
Positions (direct):
Pa: 0.5000 0.5000 0.5000
Pa: 0.5000 0.0000 0.0000
Si: 0.9658 0.7842 0.2842
Si: 0.0342 0.2158 0.7158
Ni: 0.1850 0.7501 0.8799
Ni: 0.1850 0.3799 0.2501
Ni: 0.8150 0.6201 0.7499
Ni: 0.8150 0.2499 0.1201
Ni: 0.5000 0.0000 0.5000
Ni: 0.0000 0.0000 0.5000

Entry from the Alexandria database: an optimized crystal structure of Pa3Si2Ni5 (PBE).

Properties
total energy = -7.119 eV/atom

a = 5.5972 Å, b = 8.2943 Å, c = 8.2943 Å
α = 78.94°, β = 70.28°, γ = 70.28°
Positions (direct):
Pa: 0.2500 0.0000 0.0000
Pa: 0.7500 0.0000 0.0000
Pa: 0.3803 0.4303 0.8091
Pa: 0.6197 0.5697 0.1909
Pa: 0.8803 0.8091 0.4303
Pa: 0.1197 0.1909 0.5697
Si: 0.1254 0.6866 0.0625
Si: 0.8746 0.3134 0.9375
Si: 0.6254 0.0625 0.6866
Si: 0.3746 0.9375 0.3134
Ni: 0.2500 0.5000 0.5000
Ni: 0.7500 0.5000 0.5000
Ni: 0.4584 0.7916 0.7916
Ni: 0.0416 0.2084 0.2084
Ni: 0.5416 0.2084 0.2084
Ni: 0.9584 0.7916 0.7916
Ni: 0.1480 0.4575 0.2465
Ni: 0.8520 0.5425 0.7535
Ni: 0.6480 0.2465 0.4575
Ni: 0.3520 0.7535 0.5425

Entry from the Alexandria database: an optimized crystal structure of PaSi4Ni2 (PBE).

Properties
total energy = -6.587 eV/atom

a = 3.8774 Å, b = 6.1685 Å, c = 17.9041 Å
α = 90.00°, β = 90.00°, γ = 90.00°
Positions (direct):
Pa: 0.7500 0.0260 0.6399
Pa: 0.2500 0.9740 0.3601
Pa: 0.2500 0.5260 0.8601
Pa: 0.7500 0.4740 0.1399
Si: 0.2500 0.3018 0.7137
Si: 0.7500 0.6982 0.2863
Si: 0.7500 0.8018 0.7863
Si: 0.2500 0.1982 0.2137
Si: 0.2500 0.6821 0.6574
Si: 0.7500 0.3179 0.3426
Si: 0.7500 0.1821 0.8426
Si: 0.2500 0.8179 0.1574
Si: 0.2500 0.1258 0.5259
Si: 0.7500 0.8742 0.4741
Si: 0.7500 0.6258 0.9741
Si: 0.2500 0.3742 0.0259
Si: 0.2500 0.4656 0.4337
Si: 0.7500 0.5344 0.5663
Si: 0.7500 0.9656 0.0663
Si: 0.2500 0.0344 0.9337
Ni: 0.2500 0.7339 0.5234
Ni: 0.7500 0.2661 0.4766
Ni: 0.7500 0.2339 0.9766
Ni: 0.2500 0.7661 0.0234
Ni: 0.2500 0.0138 0.8036
Ni: 0.7500 0.9862 0.1964
Ni: 0.7500 0.5138 0.6964
Ni: 0.2500 0.4862 0.3036

Entry from the Alexandria database: an optimized crystal structure of Pa2Si5Ni4 (PBE).

Properties
total energy = -6.847 eV/atom

a = 5.2806 Å, b = 5.1130 Å, c = 7.6081 Å
α = 79.68°, β = 69.69°, γ = 58.91°
Positions (direct):
Pa: 0.8670 0.0000 0.2661
Pa: 0.1330 0.0000 0.7339
Si: 0.5000 0.0000 0.0000
Si: 0.0000 0.5000 0.0000
Si: 0.5000 0.5000 0.0000
Si: 0.2500 0.5000 0.5000
Si: 0.7500 0.5000 0.5000
Ni: 0.4802 0.3035 0.7362
Ni: 0.5198 0.6965 0.2638
Ni: 0.2164 0.3035 0.2638
Ni: 0.7836 0.6965 0.7362

Entry from the Alexandria database: an optimized crystal structure of Pa3Si2Ni2 (PBE).

Properties
total energy = -7.798 eV/atom

a = 4.0649 Å, b = 3.7456 Å, c = 9.2274 Å
α = 101.71°, β = 102.72°, γ = 90.00°
Positions (direct):
Pa: 0.0000 0.0000 0.0000
Pa: 0.6888 0.1888 0.3776
Pa: 0.3112 0.8112 0.6224
Si: 0.1368 0.6368 0.2736
Si: 0.8632 0.3632 0.7264
Ni: 0.5681 0.5681 0.1361
Ni: 0.4319 0.4319 0.8639

Entry from the Alexandria database: an optimized crystal structure of Pa2Si2Ni (PBE).

Properties
energy above the lowest structure with this stoichiometry = 97 meV per atom

a = 7.4588 Å, b = 5.5725 Å, c = 9.3764 Å
α = 90.00°, β = 101.97°, γ = 90.00°
Positions (direct):
Pa: 0.5852 0.3539 0.1103
Pa: 0.0852 0.1461 0.1103
Pa: 0.9148 0.8539 0.8897
Pa: 0.4148 0.6461 0.8897
Pa: 0.9943 0.6200 0.3439
Pa: 0.4943 0.8800 0.3439
Pa: 0.5057 0.1200 0.6561
Pa: 0.0057 0.3800 0.6561
Si: 0.7221 0.8598 0.1277
Si: 0.2221 0.6402 0.1277
Si: 0.7779 0.3598 0.8723
Si: 0.2779 0.1402 0.8723
Si: 0.6585 0.3917 0.4322
Si: 0.1585 0.1083 0.4322
Si: 0.8415 0.8917 0.5678
Si: 0.3415 0.6083 0.5678
Ni: 0.3414 0.3868 0.3400
Ni: 0.6586 0.6132 0.6600
Ni: 0.8414 0.1132 0.3400
Ni: 0.1586 0.8868 0.6600

Entry from the Alexandria database: an optimized crystal structure of Pa2Si3Ni (PBE).

Properties
energy above the lowest structure with this stoichiometry = 0 meV per atom

a = 5.6545 Å, b = 5.6545 Å, c = 7.9439 Å
α = 110.99°, β = 110.99°, γ = 89.62°
Positions (direct):
Pa: 0.2500 0.7500 0.5000
Pa: 0.7524 0.7524 0.0000
Pa: 0.7500 0.2500 0.5000
Pa: 0.2476 0.2476 0.0000
Si: 0.6606 0.1688 0.8294
Si: 0.8312 0.3394 0.1706
Si: 0.3394 0.8312 0.1706
Si: 0.1688 0.6606 0.8294
Si: 0.8283 0.8283 0.6567
Si: 0.1717 0.1717 0.3433
Ni: 0.3356 0.3356 0.6712
Ni: 0.6644 0.6644 0.3288

Entry from the Alexandria database: an optimized crystal structure of Pa2Si6Ni21 (PBE).

Properties
total energy = -6.403 eV/atom

a = 7.9912 Å, b = 7.9912 Å, c = 7.9912 Å
α = 60.00°, β = 60.00°, γ = 60.00°
Positions (direct):
Pa: 0.7500 0.7500 0.7500
Pa: 0.2500 0.2500 0.2500
Si: 0.2608 0.7392 0.2608
Si: 0.7392 0.2608 0.2608
Si: 0.7392 0.7392 0.2608
Si: 0.7392 0.2608 0.7392
Si: 0.2608 0.7392 0.7392
Si: 0.2608 0.2608 0.7392
Ni: 0.0000 0.0000 0.0000
Ni: 0.6162 0.6162 0.1514
Ni: 0.6162 0.6162 0.6162
Ni: 0.6162 0.1514 0.6162
Ni: 0.1514 0.6162 0.6162
Ni: 0.3838 0.3838 0.8486
Ni: 0.3838 0.3838 0.3838
Ni: 0.3838 0.8486 0.3838
Ni: 0.8486 0.3838 0.3838
Ni: 0.6475 0.0000 0.3525
Ni: 0.0000 0.6475 0.3525
Ni: 0.0000 0.0000 0.3525
Ni: 0.0000 0.6475 0.0000
Ni: 0.6475 0.0000 0.0000
Ni: 0.0000 0.0000 0.6475
Ni: 0.0000 0.3525 0.0000
Ni: 0.0000 0.3525 0.6475
Ni: 0.6475 0.3525 0.0000
Ni: 0.3525 0.0000 0.6475
Ni: 0.3525 0.0000 0.0000
Ni: 0.3525 0.6475 0.0000

Entry from the Alexandria database: an optimized crystal structure of PaSiNi (PBE).

Properties
total energy = -7.594 eV/atom

a = 4.0089 Å, b = 4.0089 Å, c = 7.6917 Å
α = 90.00°, β = 90.00°, γ = 120.00°
Positions (direct):
Pa: 0.0000 0.0000 0.0000
Pa: 0.0000 0.0000 0.5000
Si: 0.6667 0.3334 0.2500
Si: 0.3333 0.6666 0.7500
Ni: 0.3334 0.6667 0.2500
Ni: 0.6666 0.3333 0.7500

Entry from the Alexandria database: an optimized crystal structure of Pa3Si4Ni4 (PBE).

Properties
energy above the lowest structure with this stoichiometry = 0 meV per atom

a = 3.9873 Å, b = 3.9509 Å, c = 11.8956 Å
α = 99.56°, β = 99.66°, γ = 90.00°
Positions (direct):
Pa: 0.3511 0.8512 0.7022
Pa: 0.6489 0.1488 0.2978
Pa: 0.0000 0.0000 0.0000
Si: 0.8030 0.3030 0.6061
Si: 0.4490 0.4492 0.8979
Si: 0.5510 0.5508 0.1021
Si: 0.1970 0.6970 0.3939
Ni: 0.2497 0.2498 0.4994
Ni: 0.0978 0.5977 0.1954
Ni: 0.9022 0.4023 0.8046
Ni: 0.7503 0.7502 0.5006

Entry from the Alexandria database: an optimized crystal structure of Pa2Si3Ni2 (PBE).

Properties
total energy = -7.357 eV/atom

a = 4.1810 Å, b = 6.4447 Å, c = 8.9636 Å
α = 90.00°, β = 103.49°, γ = 90.00°
Positions (direct):
Pa: 0.1594 0.2500 0.3189
Pa: 0.8406 0.7500 0.6811
Pa: 0.9495 0.2500 0.8990
Pa: 0.0505 0.7500 0.1010
Si: 0.2190 0.7500 0.4380
Si: 0.7810 0.2500 0.5620
Si: 0.5630 0.4343 0.1261
Si: 0.4370 0.5657 0.8739
Si: 0.4370 0.9343 0.8739
Si: 0.5630 0.0657 0.1261
Ni: 0.6909 0.9459 0.3818
Ni: 0.3091 0.0541 0.6182
Ni: 0.3091 0.4459 0.6182
Ni: 0.6909 0.5541 0.3818

Number 1: theoretical density 9.99 g/cm³. Number 2: theoretical density 9.82 g/cm³. Number 3: theoretical density 10.19 g/cm³. Number 4: theoretical density 7.15 g/cm³. Number 5: theoretical density 8.43 g/cm³. Number 6: theoretical density 10.74 g/cm³. Number 7: theoretical density 10.05 g/cm³. Number 8: theoretical density 9.17 g/cm³. Number 9: theoretical density 8.57 g/cm³. Number 10: theoretical density 9.86 g/cm³. Number 11: theoretical density 9.49 g/cm³. Number 12: theoretical density 9.39 g/cm³.